Record 1
A relaxed structure of KO5, computed with PBE-GGA.

```
data_KO5
_cell_length_a 3.927
_cell_length_b 3.931
_cell_length_c 8.505
_cell_angle_alpha 102.73
_cell_angle_beta 102.71
_cell_angle_gamma 90.44
_space_group_name_H-M_alt 'P 1'
_space_group_IT_number 1
_space_group_name_Hall 'P 1'
loop_
_atom_site_label
_atom_site_fract_x
_atom_site_fract_y
_atom_site_fract_z
K1 0.000 0.000 0.000
O1 0.204 0.198 0.683
O2 0.414 0.417 0.666
O3 0.499 0.499 0.998
O4 0.555 0.555 0.322
O5 0.779 0.775 0.316
```

Values from the calculation:
Energy = -4.49 eV/atom
Raw formation energy = -1.1 eV/f.u.
Space-group type = P1 (1)

***

Record 2
A relaxed structure of KO, computed with PBE-GGA.

```
data_KO
_cell_length_a 7.107
_cell_length_b 7.107
_cell_length_c 7.107
_cell_angle_alpha 109.47
_cell_angle_beta 109.47
_cell_angle_gamma 109.47
_space_group_name_H-M_alt 'P 1'
_space_group_IT_number 1
_space_group_name_Hall 'P 1'
loop_
_atom_site_label
_atom_site_fract_x
_atom_site_fract_y
_atom_site_fract_z
K1 0.000 0.000 0.349
K2 0.000 0.349 0.000
K3 0.349 0.000 0.000
K4 0.651 0.651 0.651
O1 0.000 0.000 0.710
O2 0.000 0.710 0.000
O3 0.290 0.290 0.290
O4 0.710 0.000 0.000
```

Values from the calculation:
Energy = -3.54 eV/atom
Raw formation energy = -1.0 eV/f.u.
Space-group type = I-43m (217)

***

Record 3
A relaxed structure of K4O, computed with PBE-GGA.

```
data_K4O
_cell_length_a 10.434
_cell_length_b 10.434
_cell_length_c 6.927
_cell_angle_alpha 90.00
_cell_angle_beta 90.00
_cell_angle_gamma 141.64
_space_group_name_H-M_alt 'P 1'
_space_group_IT_number 1
_space_group_name_Hall 'P 1'
loop_
_atom_site_label
_atom_site_fract_x
_atom_site_fract_y
_atom_site_fract_z
K1 0.065 0.483 0.544
K2 0.093 0.293 0.087
K3 0.293 0.093 0.913
K4 0.483 0.065 0.456
K5 0.517 0.935 0.956
K6 0.707 0.907 0.413
K7 0.907 0.707 0.587
K8 0.935 0.517 0.044
O1 0.199 0.801 0.750
O2 0.801 0.199 0.250
```

Values from the calculation:
Energy above the lowest structure with this stoichiometry = 0.098 eV per formula unit
Energy = -2.42 eV/atom
Raw formation energy = -2.7 eV/f.u.
Space-group type = C222_1 (20)

***

Record 4
A relaxed structure of K4O, computed with PBE-GGA.

```
data_K4O
_cell_length_a 8.240
_cell_length_b 8.211
_cell_length_c 9.691
_cell_angle_alpha 54.05
_cell_angle_beta 53.77
_cell_angle_gamma 72.18
_space_group_name_H-M_alt 'P 1'
_space_group_IT_number 1
_space_group_name_Hall 'P 1'
loop_
_atom_site_label
_atom_site_fract_x
_atom_site_fract_y
_atom_site_fract_z
K1 0.003 0.997 0.808
K2 0.058 0.442 0.253
K3 0.416 0.419 0.778
K4 0.419 0.416 0.387
K5 0.442 0.058 0.247
K6 0.472 0.863 0.834
K7 0.863 0.472 0.831
K8 0.997 0.003 0.192
O1 0.194 0.194 0.806
O2 0.444 0.444 0.056
```

Values from the calculation:
Energy above the lowest structure with this stoichiometry = 0.000 eV per formula unit
Energy = -2.44 eV/atom
Raw formation energy = -2.8 eV/f.u.
Space-group type = Fdd2 (43)

***

Record 5
A relaxed structure of KO4, computed with PBE-GGA.

```
data_KO4
_cell_length_a 9.565
_cell_length_b 9.565
_cell_length_c 3.789
_cell_angle_alpha 90.00
_cell_angle_beta 90.00
_cell_angle_gamma 90.00
_space_group_name_H-M_alt 'P 1'
_space_group_IT_number 1
_space_group_name_Hall 'P 1'
loop_
_atom_site_label
_atom_site_fract_x
_atom_site_fract_y
_atom_site_fract_z
K1 0.200 0.300 0.000
K2 0.300 0.800 0.000
K3 0.700 0.200 0.000
K4 0.800 0.700 0.000
O1 0.000 0.000 0.163
O2 0.000 0.000 0.837
O3 0.066 0.737 0.500
O4 0.096 0.596 0.500
O5 0.237 0.566 0.500
O6 0.263 0.066 0.500
O7 0.404 0.096 0.500
O8 0.434 0.237 0.500
O9 0.500 0.500 0.163
O10 0.500 0.500 0.837
O11 0.566 0.763 0.500
O12 0.596 0.904 0.500
O13 0.737 0.934 0.500
O14 0.763 0.434 0.500
O15 0.904 0.404 0.500
O16 0.934 0.263 0.500
```

Values from the calculation:
Energy above the lowest structure with this stoichiometry = 0.216 eV per formula unit
Energy = -4.64 eV/atom
Raw formation energy = -2.3 eV/f.u.
Space-group type = P4/mbm (127)

***

Record 6
A relaxed structure of KO, computed with PBE-GGA.

```
data_KO
_cell_length_a 4.922
_cell_length_b 4.922
_cell_length_c 3.907
_cell_angle_alpha 90.00
_cell_angle_beta 90.00
_cell_angle_gamma 132.05
_space_group_name_H-M_alt 'P 1'
_space_group_IT_number 1
_space_group_name_Hall 'P 1'
loop_
_atom_site_label
_atom_site_fract_x
_atom_site_fract_y
_atom_site_fract_z
K1 0.141 0.859 0.750
K2 0.859 0.141 0.250
O1 0.462 0.538 0.750
O2 0.538 0.462 0.250
```

Values from the calculation:
Energy = -3.72 eV/atom
Raw formation energy = -1.4 eV/f.u.
Space-group type = Cmcm (63)